# 1
{"formula": "Tb6Sm4Ho19", "functional": "PBE", "state": "optimized geometry", "crystal_system": "cubic", "lattice": [[-6.2066, 6.2066, 6.2066], [6.2066, -6.2066, 6.2066], [6.2066, 6.2066, -6.2066]], "species": ["Tb", "Tb", "Tb", "Tb", "Tb", "Tb", "Sm", "Sm", "Sm", "Sm", "Ho", "Ho", "Ho", "Ho", "Ho", "Ho", "Ho", "Ho", "Ho", "Ho", "Ho", "Ho", "Ho", "Ho", "Ho", "Ho", "Ho", "Ho", "Ho"], "frac_coords": [[0.1259, 0.6259, 0.5000], [0.3741, 0.5000, 0.8741], [0.5000, 0.1259, 0.6259], [0.5000, 0.8741, 0.3741], [0.6259, 0.5000, 0.1259], [0.8741, 0.3741, 0.5000], [0.0000, 0.0000, 0.6405], [0.0000, 0.6405, 0.0000], [0.3595, 0.3595, 0.3595], [0.6405, 0.0000, 0.0000], [0.0000, 0.0000, 0.0000], [0.0000, 0.2597, 0.2597], [0.0000, 0.7403, 0.7403], [0.0158, 0.8000, 0.3402], [0.2000, 0.2158, 0.5402], [0.2158, 0.5402, 0.2000], [0.2597, 0.0000, 0.2597], [0.2597, 0.2597, 0.0000], [0.3244, 0.7842, 0.9842], [0.3402, 0.0158, 0.8000], [0.4598, 0.6756, 0.6598], [0.5402, 0.2000, 0.2158], [0.6598, 0.4598, 0.6756], [0.6756, 0.6598, 0.4598], [0.7403, 0.0000, 0.7403], [0.7403, 0.7403, 0.0000], [0.7842, 0.9842, 0.3244], [0.8000, 0.3402, 0.0158], [0.9842, 0.3244, 0.7842]]}

# 2
{"formula": "Tb3Sm5Ho", "functional": "PBE", "state": "optimized geometry", "crystal_system": "monoclinic", "relative_energy_ev_per_atom": 0.000, "lattice": [[8.2070, -3.3705, 0.0000], [8.2070, 3.3705, 0.0000], [-3.9809, 0.0000, 10.8555]], "species": ["Tb", "Tb", "Tb", "Tb", "Tb", "Tb", "Sm", "Sm", "Sm", "Sm", "Sm", "Sm", "Sm", "Sm", "Sm", "Sm", "Ho", "Ho"], "frac_coords": [[0.0000, 0.0000, 0.0000], [0.0000, 0.0000, 0.5000], [0.1599, 0.3623, 0.6296], [0.3623, 0.1599, 0.1296], [0.6377, 0.8401, 0.8704], [0.8401, 0.6377, 0.3704], [0.0784, 0.2668, 0.8494], [0.2668, 0.0784, 0.3494], [0.3142, 0.6858, 0.2500], [0.3899, 0.3909, 0.9504], [0.3909, 0.3899, 0.4504], [0.6091, 0.6101, 0.5496], [0.6101, 0.6091, 0.0496], [0.6858, 0.3142, 0.7500], [0.7332, 0.9216, 0.6506], [0.9216, 0.7332, 0.1506], [0.2357, 0.7643, 0.7500], [0.7643, 0.2357, 0.2500]]}

# 3
{"formula": "Tb12SmHo7", "functional": "PBE", "state": "optimized geometry", "crystal_system": "cubic", "relative_energy_ev_per_atom": 0.408, "lattice": [[-5.6472, 5.6472, 5.6472], [5.6472, -5.6472, 5.6472], [5.6472, 5.6472, -5.6472]], "species": ["Tb", "Tb", "Tb", "Tb", "Tb", "Tb", "Tb", "Tb", "Tb", "Tb", "Tb", "Tb", "Sm", "Ho", "Ho", "Ho", "Ho", "Ho", "Ho", "Ho"], "frac_coords": [[0.0008, 0.2538, 0.7470], [0.2530, 0.5068, 0.2538], [0.2530, 0.9992, 0.7462], [0.2538, 0.2530, 0.5068], [0.2538, 0.7470, 0.0008], [0.4932, 0.7462, 0.7470], [0.5068, 0.2538, 0.2530], [0.7462, 0.2530, 0.9992], [0.7462, 0.7470, 0.4932], [0.7470, 0.0008, 0.2538], [0.7470, 0.4932, 0.7462], [0.9992, 0.7462, 0.2530], [0.0000, 0.0000, 0.0000], [0.0000, 0.0000, 0.5000], [0.0000, 0.5000, 0.0000], [0.0000, 0.5000, 0.5000], [0.5000, 0.0000, 0.0000], [0.5000, 0.0000, 0.5000], [0.5000, 0.5000, 0.0000], [0.5000, 0.5000, 0.5000]]}

# 4
{"formula": "Tb5Sm2Ho12", "functional": "PBE", "state": "optimized geometry", "crystal_system": "monoclinic", "relative_energy_ev_per_atom": 0.069, "lattice": [[7.8265, -4.6088, 0.0000], [7.8265, 4.6088, 0.0000], [-0.2175, 0.0000, 8.5148]], "species": ["Tb", "Tb", "Tb", "Tb", "Tb", "Sm", "Sm", "Ho", "Ho", "Ho", "Ho", "Ho", "Ho", "Ho", "Ho", "Ho", "Ho", "Ho", "Ho"], "frac_coords": [[0.0000, 0.0000, 0.0000], [0.2310, 0.2310, 0.0741], [0.3002, 0.3002, 0.4878], [0.6998, 0.6998, 0.5122], [0.7690, 0.7690, 0.9259], [0.3200, 0.6800, 0.5000], [0.6800, 0.3200, 0.5000], [0.0263, 0.6662, 0.2573], [0.0881, 0.0881, 0.3808], [0.1816, 0.5638, 0.8422], [0.3338, 0.9737, 0.7427], [0.4362, 0.8184, 0.1578], [0.4423, 0.4423, 0.1680], [0.5577, 0.5577, 0.8320], [0.5638, 0.1816, 0.8422], [0.6662, 0.0263, 0.2573], [0.8184, 0.4362, 0.1578], [0.9119, 0.9119, 0.6192], [0.9737, 0.3338, 0.7427]]}

# 5
{"formula": "Tb3SmHo2", "functional": "PBE", "state": "optimized geometry", "crystal_system": "monoclinic", "lattice": [[8.8434, -3.5892, 0.0000], [8.8434, 3.5892, 0.0000], [-1.4535, 0.0000, 6.0387]], "species": ["Tb", "Tb", "Tb", "Tb", "Tb", "Tb", "Sm", "Sm", "Ho", "Ho", "Ho", "Ho"], "frac_coords": [[0.0430, 0.2922, 0.0289], [0.1250, 0.8750, 0.7500], [0.2922, 0.0430, 0.5289], [0.7078, 0.9570, 0.4711], [0.8750, 0.1250, 0.2500], [0.9570, 0.7078, 0.9711], [0.3752, 0.6248, 0.2500], [0.6248, 0.3752, 0.7500], [0.2071, 0.4580, 0.4720], [0.4580, 0.2071, 0.9720], [0.5420, 0.7929, 0.0280], [0.7929, 0.5420, 0.5280]]}

# 6
{"formula": "Tb7Sm2Ho2", "functional": "PBE", "state": "optimized geometry", "crystal_system": "triclinic", "relative_energy_ev_per_atom": 0.000, "lattice": [[6.5388, 0.0000, 0.0000], [-0.7140, 6.6778, 0.0000], [-1.3255, -3.3062, 8.1547]], "species": ["Tb", "Tb", "Tb", "Tb", "Tb", "Tb", "Tb", "Sm", "Sm", "Ho", "Ho"], "frac_coords": [[0.0000, 0.0000, 0.0000], [0.1016, 0.4155, 0.8285], [0.3862, 0.4259, 0.2163], [0.4956, 0.8791, 0.1401], [0.5044, 0.1209, 0.8599], [0.6138, 0.5741, 0.7837], [0.8984, 0.5845, 0.1715], [0.2114, 0.6813, 0.5717], [0.7886, 0.3187, 0.4283], [0.2568, 0.1198, 0.4564], [0.7432, 0.8802, 0.5436]]}

# 7
{"formula": "Tb2Sm5Ho5", "functional": "PBE", "state": "optimized geometry", "crystal_system": "monoclinic", "lattice": [[7.5750, -2.5230, 0.0000], [7.5750, 2.5230, 0.0000], [-5.0548, 0.0000, 10.1190]], "species": ["Tb", "Tb", "Sm", "Sm", "Sm", "Sm", "Sm", "Ho", "Ho", "Ho", "Ho", "Ho"], "frac_coords": [[0.0832, 0.0832, 0.2489], [0.9168, 0.9168, 0.7511], [0.3340, 0.3340, 0.5007], [0.4159, 0.4159, 0.2493], [0.5000, 0.5000, 0.0000], [0.5841, 0.5841, 0.7507], [0.6660, 0.6660, 0.4993], [0.0000, 0.0000, 0.5000], [0.1678, 0.1678, 0.0008], [0.2506, 0.2506, 0.7514], [0.7494, 0.7494, 0.2486], [0.8322, 0.8322, 0.9992]]}

# 8
{"formula": "Tb7SmHo3", "functional": "PBE", "state": "optimized geometry", "crystal_system": "monoclinic", "relative_energy_ev_per_atom": 0.000, "lattice": [[6.9656, 0.0000, 0.0000], [0.0000, 5.5475, 0.0000], [-3.3851, 0.0000, 9.2847]], "species": ["Tb", "Tb", "Tb", "Tb", "Tb", "Tb", "Tb", "Sm", "Ho", "Ho", "Ho"], "frac_coords": [[0.0000, 0.0000, 0.0000], [0.1466, 0.5000, 0.2905], [0.3239, 0.5000, 0.6423], [0.4207, 0.0000, 0.8312], [0.5793, 0.0000, 0.1688], [0.6761, 0.5000, 0.3577], [0.8534, 0.5000, 0.7095], [0.0000, 0.0000, 0.5000], [0.2781, 0.5000, 0.9981], [0.5000, 0.0000, 0.5000], [0.7219, 0.5000, 0.0019]]}

# 9
{"formula": "TbSm6Ho", "functional": "PBE", "state": "optimized geometry", "crystal_system": "tetragonal", "lattice": [[5.0995, 0.0000, 0.0000], [0.0000, 5.0995, 0.0000], [0.0000, 0.0000, 10.1904]], "species": ["Tb", "Sm", "Sm", "Sm", "Sm", "Sm", "Sm", "Ho"], "frac_coords": [[0.0000, 0.0000, 0.0000], [0.0000, 0.5000, 0.2505], [0.0000, 0.5000, 0.7495], [0.5000, 0.0000, 0.2505], [0.5000, 0.0000, 0.7495], [0.5000, 0.5000, 0.0000], [0.5000, 0.5000, 0.5000], [0.0000, 0.0000, 0.5000]]}

# 10
{"formula": "Tb5SmHo4", "functional": "PBE", "state": "optimized geometry", "crystal_system": "monoclinic", "relative_energy_ev_per_atom": 0.181, "lattice": [[5.9177, -3.1571, 0.0000], [5.9177, 3.1571, 0.0000], [-5.3298, 0.0000, 8.5844]], "species": ["Tb", "Tb", "Tb", "Tb", "Tb", "Sm", "Ho", "Ho", "Ho", "Ho"], "frac_coords": [[0.0000, 0.0000, 0.0000], [0.4665, 0.0086, 0.9214], [0.5997, 0.1643, 0.6832], [0.8357, 0.4003, 0.3168], [0.9914, 0.5335, 0.0786], [0.4499, 0.5501, 0.0000], [0.1524, 0.7225, 0.6069], [0.2775, 0.8476, 0.3931], [0.5452, 0.0987, 0.3133], [0.9013, 0.4548, 0.6867]]}

# 11
{"formula": "TbSmHo2", "functional": "PBE", "state": "optimized geometry", "crystal_system": "trigonal", "relative_energy_ev_per_atom": 0.003, "lattice": [[1.7794, 1.0273, 11.5868], [-1.7794, 1.0273, 11.5868], [0.0000, -2.0547, 11.5868]], "species": ["Tb", "Sm", "Ho", "Ho"], "frac_coords": [[0.0000, 0.0000, 0.0000], [0.5000, 0.5000, 0.5000], [0.2506, 0.2506, 0.2506], [0.7494, 0.7494, 0.7494]]}

# 12
{"formula": "Tb3Sm4Ho5", "functional": "PBE", "state": "optimized geometry", "crystal_system": "triclinic", "relative_energy_ev_per_atom": 0.000, "lattice": [[6.1777, 0.0000, 0.0000], [-0.0141, 7.1327, 0.0000], [-0.0095, -0.0121, 8.7289]], "species": ["Tb", "Tb", "Tb", "Sm", "Sm", "Sm", "Sm", "Ho", "Ho", "Ho", "Ho", "Ho"], "frac_coords": [[0.0000, 0.0000, 0.0000], [0.1675, 0.7512, 0.6682], [0.8325, 0.2488, 0.3318], [0.1667, 0.2489, 0.6678], [0.3323, 0.5000, 0.3316], [0.6677, 0.5000, 0.6684], [0.8333, 0.7511, 0.3322], [0.0000, 0.5000, 0.0000], [0.3339, 0.0001, 0.3316], [0.4995, 0.7513, 0.0000], [0.5005, 0.2487, 0.0000], [0.6661, 0.9999, 0.6684]]}

Energy of formation? In order: 0.386, 0.170, 0.704, 0.130, -0.002, 0.081, 0.017, 0.138, 0.018, 0.198, 0.017, 0.016 eV/atom.